CsMg6Bi, optimized geometry, DFT PBE; electronic total energy = -1.74 eV per atom; energy of formation = 0.40 eV/f.u.
1.0
3.1130 -9.4312 0.0000
3.1130 9.4312 0.0000
0.0000 0.0000 5.0780
Cs Mg Bi
1 6 1
Direct
0.7894 0.2106 0.5000
0.8202 0.6809 0.5000
0.3191 0.1798 0.5000
0.7219 0.7973 0.0000
0.2027 0.2781 0.0000
0.6117 0.3883 0.0000
0.1097 0.8903 0.0000
0.4252 0.5748 0.5000